Entry from Alexandria: a relaxed structure of DyYHoEr (GGA-PBE).

```
DyYHoEr
1.0
5.0002 0.0000 0.0000
0.0000 4.9973 0.0000
-2.5001 -2.4986 5.0024
Er Y Ho Dy
1 1 1 1
Direct
0.6198 0.6198 0.2396
0.3698 0.8698 0.7396
0.8697 0.3697 0.7394
0.1198 0.1198 0.2396
```

Polymorph energy (0 for the lowest one) (meV/atom): 0
Crystal system: tetragonal
Total moment (μB per formula unit): 0.0
Energy (eV per atom): -5.03
E_form (meV/atom): 24